TaGe2Pt after structural relaxation. Source: Alexandria via LeMat-Bulk, functional GGA-PBE.

Structure (extended XYZ):
```
4
Lattice="4.4292 0.0000 0.0000 0.0000 4.4292 0.0000 0.0000 0.0000 3.2858" Properties=species:S:1:pos:R:3 pbc="T T T"
Ta 0.0000 0.0000 0.0000
Ge 0.0000 2.2146 1.6429
Ge 2.2146 0.0000 1.6429
Pt 2.2146 2.2146 0.0000
```

## Properties
- Space-group type: P4/mmm (123)
- Volume: 64.5 Å³/cell
- Energy of formation from the pure elements: -0.23 eV per atom

***

TaGe2Pt after structural relaxation. Source: Alexandria via LeMat-Bulk, functional GGA-PBE.

Structure (extended XYZ):
```
16
Lattice="6.9808 0.0000 0.0000 0.0000 6.9808 0.0000 0.0000 0.0000 5.8770" Properties=species:S:1:pos:R:3 pbc="T T T"
Ta 0.0000 0.0000 0.0000
Ta 0.0000 3.4904 1.4692
Ta 3.4904 0.0000 4.4077
Ta 3.4904 3.4904 2.9385
Ge 1.5892 1.7452 3.6731
Ge 1.7452 5.0796 5.1423
Ge 1.7452 5.3916 2.2039
Ge 1.9012 1.7452 0.7346
Ge 5.0796 5.2356 0.7346
Ge 5.2356 1.5892 2.2039
Ge 5.2356 1.9012 5.1423
Ge 5.3916 5.2356 3.6731
Pt 0.0000 0.0000 2.9385
Pt 0.0000 3.4904 4.4077
Pt 3.4904 0.0000 1.4692
Pt 3.4904 3.4904 0.0000
```

## Properties
- Space-group type: I-42d (122)
- Volume: 286.4 Å³/cell
- Energy of formation from the pure elements: 0.10 eV per atom

***

What did the first record say?
TaGe2Pt after structural relaxation. Source: Alexandria via LeMat-Bulk, functional GGA-PBE.

Structure (extended XYZ):
```
4
Lattice="4.4292 0.0000 0.0000 0.0000 4.4292 0.0000 0.0000 0.0000 3.2858" Properties=species:S:1:pos:R:3 pbc="T T T"
Ta 0.0000 0.0000 0.0000
Ge 0.0000 2.2146 1.6429
Ge 2.2146 0.0000 1.6429
Pt 2.2146 2.2146 0.0000
```

## Properties
- Space-group type: P4/mmm (123)
- Volume: 64.5 Å³/cell
- Energy of formation from the pure elements: -0.23 eV per atom

***

Please write out number 2 again, unchanged.
TaGe2Pt after structural relaxation. Source: Alexandria via LeMat-Bulk, functional GGA-PBE.

Structure (extended XYZ):
```
16
Lattice="6.9808 0.0000 0.0000 0.0000 6.9808 0.0000 0.0000 0.0000 5.8770" Properties=species:S:1:pos:R:3 pbc="T T T"
Ta 0.0000 0.0000 0.0000
Ta 0.0000 3.4904 1.4692
Ta 3.4904 0.0000 4.4077
Ta 3.4904 3.4904 2.9385
Ge 1.5892 1.7452 3.6731
Ge 1.7452 5.0796 5.1423
Ge 1.7452 5.3916 2.2039
Ge 1.9012 1.7452 0.7346
Ge 5.0796 5.2356 0.7346
Ge 5.2356 1.5892 2.2039
Ge 5.2356 1.9012 5.1423
Ge 5.3916 5.2356 3.6731
Pt 0.0000 0.0000 2.9385
Pt 0.0000 3.4904 4.4077
Pt 3.4904 0.0000 1.4692
Pt 3.4904 3.4904 0.0000
```

## Properties
- Space-group type: I-42d (122)
- Volume: 286.4 Å³/cell
- Energy of formation from the pure elements: 0.10 eV per atom

***

Which formula does entry 2 have? TaGe2Pt